Entry 1:
KBaErSe3 | OQMD | PBE | relaxed; density = 3424 kg/m³; polymorph energy (0 for the lowest one) = 64 meV per atom
1.0
2.1617 -10.6084 0.0000
2.1617 10.6084 0.0000
0.0000 0.0000 12.2776
K Ba Er Se
2 2 2 6
Direct
0.1111 0.8889 0.7500
0.8889 0.1111 0.2500
0.1069 0.8931 0.2500
0.8931 0.1069 0.7500
0.5000 0.5000 0.0000
0.5000 0.5000 0.5000
0.0905 0.9095 0.5010
0.0905 0.9095 0.9990
0.4973 0.5027 0.7500
0.5027 0.4973 0.2500
0.9095 0.0905 0.0010
0.9095 0.0905 0.4990

Entry 2:
ErMgZn | OQMD | PBE | relaxed; electronic total energy = -0.1485 Ry per atom; density = 5187 kg/m³
1.0
0.0000 3.4518 3.4518
3.4518 0.0000 3.4518
3.4518 3.4518 0.0000
Er Mg Zn
1 1 1
Direct
0.0000 0.0000 0.0000
0.7500 0.7500 0.7500
0.2500 0.2500 0.2500

Entry 3:
LuSiPt2 | OQMD | PBE | relaxed; electronic total energy = -0.4489 Ry per atom; density = 14172 kg/m³
1.0
0.0000 3.2634 3.2634
3.2634 0.0000 3.2634
3.2634 3.2634 0.0000
Lu Si Pt
1 1 2
Direct
0.0000 0.0000 0.0000
0.7500 0.7500 0.7500
0.2500 0.2500 0.2500
0.5000 0.5000 0.5000

Entry 4:
ZrUAs | OQMD | PBE | relaxed; electronic total energy = -0.5480 Ry per atom; density = 9301 kg/m³
1.0
0.0000 3.3043 3.3043
3.3043 0.0000 3.3043
3.3043 3.3043 0.0000
Zr U As
1 1 1
Direct
0.0000 0.0000 0.0000
0.7500 0.7500 0.7500
0.5000 0.5000 0.5000

Entry 5:
Gd2Al2NiPd3 | OQMD | PBE | relaxed; electronic total energy = -0.4092 Ry per atom; density = 8287 kg/m³
1.0
4.3304 0.0000 0.0000
-2.1652 3.7502 0.0000
0.0000 0.0000 9.2097
Gd Al Ni Pd
2 2 1 3
Direct
0.0000 0.0000 0.0000
0.3333 0.6667 0.5114
0.6667 0.3333 0.2558
0.6667 0.3333 0.7463
0.0000 0.0000 0.6861
0.0000 0.0000 0.3355
0.3333 0.6667 0.1766
0.3333 0.6667 0.8274

Entry 6:
MgScFeBi | OQMD | PBE | relaxed; density = 7607 kg/m³; polymorph energy (0 for the lowest one) = 70 meV per atom
1.0
0.0000 3.3160 3.3160
3.3160 0.0000 3.3160
3.3160 3.3160 0.0000
Mg Sc Fe Bi
1 1 1 1
Direct
0.0000 0.0000 0.0000
0.2500 0.2500 0.2500
0.5000 0.5000 0.5000
0.7500 0.7500 0.7500

Entry 7:
Dy2PuCo2 | OQMD | PBE | relaxed; formation enthalpy at 0 K = -5.105 kcal/mol of atoms; density = 11023 kg/m³
1.0
5.0127 -2.9131 0.0000
5.0127 2.9131 0.0000
-1.3491 0.0000 7.0862
Dy Pu Co
4 2 4
Direct
0.0331 0.2694 0.1486
0.2694 0.0331 0.6486
0.7306 0.9669 0.3514
0.9669 0.7306 0.8514
0.4022 0.5978 0.2500
0.5978 0.4022 0.7500
0.2043 0.4960 0.4901
0.4960 0.2043 0.9901
0.5040 0.7957 0.0099
0.7957 0.5040 0.5099

Entry 8:
LiHfAuSeS2 | OQMD | PBE | relaxed; electronic total energy = -0.4014 Ry per atom; density = 6984 kg/m³
1.0
1.8615 -6.5595 0.0000
1.8615 6.5595 0.0000
0.0000 0.0000 10.2322
Li Hf Au Se S
2 2 2 2 4
Direct
0.2151 0.7849 0.7500
0.7849 0.2151 0.2500
0.5000 0.5000 0.0000
0.5000 0.5000 0.5000
0.1195 0.8805 0.2500
0.8805 0.1195 0.7500
0.4298 0.5702 0.2500
0.5702 0.4298 0.7500
0.1341 0.8659 0.0221
0.1341 0.8659 0.4779
0.8659 0.1341 0.5221
0.8659 0.1341 0.9779

Repeat the seventh record exactly.
Dy2PuCo2 | OQMD | PBE | relaxed; formation enthalpy at 0 K = -5.105 kcal/mol of atoms; density = 11023 kg/m³
1.0
5.0127 -2.9131 0.0000
5.0127 2.9131 0.0000
-1.3491 0.0000 7.0862
Dy Pu Co
4 2 4
Direct
0.0331 0.2694 0.1486
0.2694 0.0331 0.6486
0.7306 0.9669 0.3514
0.9669 0.7306 0.8514
0.4022 0.5978 0.2500
0.5978 0.4022 0.7500
0.2043 0.4960 0.4901
0.4960 0.2043 0.9901
0.5040 0.7957 0.0099
0.7957 0.5040 0.5099